Here is crystalline Ca2Zn6Sn at its relaxed geometry from Alexandria via LeMat-Bulk. Energies are from GGA-PBE.

Cell lengths 6.0967, 5.8622, 5.8622 Å; angles 60.02, 90.01, 90.01 degrees
Element x y z (fractional)
Sn1 0.0000 0.0000 0.0000
Zn1 0.3540 0.8170 0.8170
Zn2 0.6463 0.6335 0.1833
Ca1 0.1429 0.3333 0.3333
Zn3 0.3537 0.3665 0.8167
Ca2 0.8571 0.6667 0.6667
Zn4 0.6463 0.1833 0.6335
Zn5 0.6460 0.1830 0.1830
Zn6 0.3537 0.8167 0.3665

Values from the calculation:
For the total magnetic moment, the calculation gives 0.000 μB per cell. As for the density of states at the Fermi level: 4.0 states/eV per cell. The value obtained for the electronic total energy is -2.00 eV/atom.


Here is crystalline CaZnSn at its relaxed geometry from Alexandria via LeMat-Bulk. Energies are from GGA-PBE.

Cell lengths 5.5190, 5.8766, 5.8672 Å; angles 88.76, 61.99, 62.02 degrees
Element x y z (fractional)
Zn1 0.2436 0.4631 0.0793
Sn1 0.2449 0.4614 0.5786
Ca1 0.4956 0.8306 0.7082
Zn2 0.7436 0.4633 0.0795
Ca2 0.9949 0.0928 0.4473
Sn2 0.7450 0.9625 0.0774

Values from the calculation:
For the total magnetic moment, the calculation gives 0.000 μB per cell. As for the density of states at the Fermi level: 2.1 states/eV per cell. The value obtained for the electronic total energy is -2.81 eV/atom.


Here is crystalline Ca4Zn2Sn at its relaxed geometry from Alexandria via LeMat-Bulk. Energies are from GGA-PBE.

Cell lengths 5.2312, 5.2312, 9.1999 Å; angles 73.48, 73.48, 60.00 degrees
Element x y z (fractional)
Ca1 0.1267 0.1267 0.6199
Ca2 0.8733 0.8733 0.3801
Ca3 0.6216 0.6216 0.1351
Zn1 0.7497 0.7497 0.7508
Sn1 0.0000 0.0000 0.0000
Zn2 0.2503 0.2503 0.2492
Ca4 0.3784 0.3784 0.8649

Values from the calculation:
For the total magnetic moment, the calculation gives 0.000 μB per cell. As for the density of states at the Fermi level: 5.5 states/eV per cell. The value obtained for the electronic total energy is -2.37 eV/atom.


Here is crystalline Ca2ZnSn2 at its relaxed geometry from Alexandria via LeMat-Bulk. Energies are from GGA-PBE.

Cell lengths 4.7836, 6.1548, 10.1945 Å; angles 87.14, 76.43, 67.13 degrees
Element x y z (fractional)
Sn1 0.6450 0.8291 0.8809
Sn2 0.3550 0.1709 0.1191
Sn3 0.0826 0.2702 0.5647
Ca1 0.9237 0.2558 0.8968
Ca2 0.3223 0.6879 0.6675
Ca3 0.6777 0.3121 0.3325
Sn4 0.9174 0.7298 0.4353
Zn1 0.3696 0.9143 0.3466
Ca4 0.0763 0.7442 0.1032
Zn2 0.6304 0.0857 0.6534

Values from the calculation:
As for the distance to the lowest polymorph of the same formula: 0.000 eV/f.u. For the total magnetic moment, the calculation gives 0.000 μB per cell. As for the density of states at the Fermi level: 3.2 states/eV per cell.


Here is crystalline CaZnSn at its relaxed geometry from Alexandria via LeMat-Bulk. Energies are from GGA-PBE.

Cell lengths 4.7238, 8.0555, 12.4053 Å; angles 108.95, 100.98, 90.00 degrees
Element x y z (fractional)
Ca1 0.3338 0.8678 0.6675
Ca2 0.8321 0.2909 0.6642
Zn1 0.4421 0.2708 0.8842
Ca3 0.6662 0.2002 0.3325
Zn2 0.8934 0.7205 0.7867
Sn1 0.7636 0.6014 0.5271
Sn2 0.0727 0.2269 0.1454
Sn3 0.4032 0.5559 0.8064
Ca4 0.0000 0.5329 0.0000
Sn4 0.5968 0.7495 0.1936
Ca5 0.5000 0.9585 0.0000
Zn3 0.1066 0.9337 0.2133
Sn5 0.2364 0.0743 0.4729
Ca6 0.1679 0.6267 0.3358
Zn4 0.5579 0.3866 0.1158
Sn6 0.9273 0.0815 0.8546
Zn5 0.7260 0.8892 0.4521
Zn6 0.2740 0.4372 0.5479

Values from the calculation:
For the total magnetic moment, the calculation gives 0.000 μB per cell. As for the density of states at the Fermi level: 6.0 states/eV per cell. The value obtained for the electronic total energy is -2.90 eV/atom.


Here is crystalline Ca2Zn2Sn at its relaxed geometry from Alexandria via LeMat-Bulk. Energies are from GGA-PBE.

Cell lengths 4.4369, 5.9549, 5.9549 Å; angles 60.56, 68.13, 68.13 degrees
Element x y z (fractional)
Ca1 0.2080 0.2920 0.2920
Sn1 0.0000 0.0000 0.0000
Ca2 0.7920 0.7080 0.7080
Zn1 0.5000 0.7080 0.2920
Zn2 0.5000 0.2920 0.7080

Values from the calculation:
For the total magnetic moment, the calculation gives 0.000 μB per cell. As for the density of states at the Fermi level: 1.9 states/eV per cell. The value obtained for the electronic total energy is -2.51 eV/atom.


Here is crystalline Ca4Zn3Sn at its relaxed geometry from Alexandria via LeMat-Bulk. Energies are from GGA-PBE.

Cell lengths 5.2546, 5.2546, 9.1678 Å; angles 73.35, 73.35, 60.00 degrees
Element x y z (fractional)
Ca1 0.8734 0.8734 0.3797
Sn1 0.0000 0.0000 0.0000
Zn1 0.5000 0.5000 0.5000
Ca2 0.1266 0.1266 0.6203
Zn2 0.2469 0.2469 0.2592
Ca3 0.6227 0.6227 0.1319
Ca4 0.3773 0.3773 0.8681
Zn3 0.7531 0.7531 0.7408

Values from the calculation:
For the total magnetic moment, the calculation gives 0.000 μB per cell. As for the density of states at the Fermi level: 6.2 states/eV per cell. The value obtained for the electronic total energy is -2.34 eV/atom.


Here is crystalline CaZn2Sn at its relaxed geometry from Alexandria via LeMat-Bulk. Energies are from GGA-PBE.

Cell lengths 4.7529, 4.7529, 10.1724 Å; angles 76.49, 76.49, 90.00 degrees
Element x y z (fractional)
Zn1 0.9649 0.6250 0.2500
Sn1 0.7500 0.2500 0.5000
Zn2 0.7851 0.1250 0.2500
Zn3 0.8750 0.0351 0.7500
Ca1 0.5000 0.5000 0.0000
Zn4 0.3750 0.2149 0.7500
Ca2 0.2500 0.7500 0.5000
Sn2 0.0000 0.0000 0.0000

Values from the calculation:
For the total magnetic moment, the calculation gives 0.000 μB per cell. As for the density of states at the Fermi level: 3.4 states/eV per cell. The value obtained for the electronic total energy is -2.20 eV/atom.


Here is crystalline Ca4ZnSn2 at its relaxed geometry from Alexandria via LeMat-Bulk. Energies are from GGA-PBE.

Cell lengths 5.3542, 5.3542, 9.2441 Å; angles 73.17, 73.17, 60.00 degrees
Element x y z (fractional)
Sn1 0.7510 0.7510 0.7471
Ca1 0.8759 0.8759 0.3723
Sn2 0.2490 0.2490 0.2529
Zn1 0.0000 0.0000 0.0000
Ca2 0.3744 0.3744 0.8767
Ca3 0.1241 0.1241 0.6277
Ca4 0.6256 0.6256 0.1233

Values from the calculation:
As for the distance to the lowest polymorph of the same formula: 0.000 eV/f.u. For the total magnetic moment, the calculation gives 0.000 μB per cell. As for the density of states at the Fermi level: 0.2 states/eV per cell.


Here is crystalline Ca2Zn2Sn at its relaxed geometry from Alexandria via LeMat-Bulk. Energies are from GGA-PBE.

Cell lengths 7.2763, 7.2763, 4.6755 Å; angles 90.00, 90.00, 90.00 degrees
Element x y z (fractional)
Sn1 0.0000 0.0000 0.0000
Ca1 0.3185 0.1815 0.5000
Zn1 0.1201 0.3799 0.0000
Zn2 0.8799 0.6201 0.0000
Zn3 0.3799 0.8799 0.0000
Ca2 0.8185 0.3185 0.5000
Sn2 0.5000 0.5000 0.0000
Zn4 0.6201 0.1201 0.0000
Ca3 0.1815 0.6815 0.5000
Ca4 0.6815 0.8185 0.5000

Values from the calculation:
For the total magnetic moment, the calculation gives 0.000 μB per cell. As for the density of states at the Fermi level: 8.4 states/eV per cell. The value obtained for the electronic total energy is -2.48 eV/atom.


Here is crystalline Ca2ZnSn3 at its relaxed geometry from Alexandria via LeMat-Bulk. Energies are from GGA-PBE.

Cell lengths 4.4304, 4.6258, 8.2552 Å; angles 90.00, 90.00, 90.00 degrees
Element x y z (fractional)
Ca1 0.0000 0.0000 0.5041
Ca2 0.0000 0.5000 0.0011
Sn1 0.5000 0.0000 0.1877
Sn2 0.5000 0.0000 0.8417
Zn1 0.5000 0.5000 0.3249
Sn3 0.5000 0.5000 0.6404

Values from the calculation:
For the total magnetic moment, the calculation gives 0.000 μB per cell. As for the density of states at the Fermi level: 2.6 states/eV per cell. The value obtained for the electronic total energy is -3.24 eV/atom.


Here is crystalline Ca6Zn5Sn at its relaxed geometry from Alexandria via LeMat-Bulk. Energies are from GGA-PBE.

Cell lengths 5.2260, 9.0799, 9.0799 Å; angles 119.66, 106.72, 106.72 degrees
Element x y z (fractional)
Zn1 0.5000 0.1666 0.8334
Ca1 0.2538 0.4225 0.0851
Ca2 0.7582 0.2580 0.2580
Ca3 0.2418 0.7420 0.7420
Zn2 0.0000 0.3344 0.6656
Ca4 0.2538 0.0851 0.4225
Ca5 0.7462 0.9149 0.5775
Ca6 0.7462 0.5775 0.9149
Sn1 0.0000 0.0000 0.0000
Zn3 0.0000 0.6656 0.3344
Zn4 0.5000 0.5000 0.5000
Zn5 0.5000 0.8334 0.1666

Values from the calculation:
For the total magnetic moment, the calculation gives 0.000 μB per cell. As for the density of states at the Fermi level: 6.6 states/eV per cell. The value obtained for the electronic total energy is -2.19 eV/atom.


Here is crystalline Ca2ZnSn2 at its relaxed geometry from Alexandria via LeMat-Bulk. Energies are from GGA-PBE.

Cell lengths 8.5242, 8.5242, 4.1459 Å; angles 90.00, 90.00, 90.00 degrees
Element x y z (fractional)
Ca1 0.3219 0.8219 0.0000
Zn1 0.0000 0.0000 0.0000
Ca2 0.8219 0.6781 0.0000
Sn1 0.8800 0.3800 0.5000
Sn2 0.3800 0.1200 0.5000
Ca3 0.1781 0.3219 0.0000
Ca4 0.6781 0.1781 0.0000
Sn3 0.1200 0.6200 0.5000
Sn4 0.6200 0.8800 0.5000
Zn2 0.5000 0.5000 0.0000

Values from the calculation:
As for the distance to the lowest polymorph of the same formula: 1.305 eV/f.u. For the total magnetic moment, the calculation gives 0.000 μB per cell. As for the density of states at the Fermi level: 5.5 states/eV per cell.


Here is crystalline CaZnSn at its relaxed geometry from Alexandria via LeMat-Bulk. Energies are from GGA-PBE.

Cell lengths 4.6540, 6.1596, 6.0213 Å; angles 103.77, 112.70, 67.95 degrees
Element x y z (fractional)
Ca1 0.8210 0.7937 0.8239
Zn1 0.5108 0.4075 0.8214
Ca2 0.9102 0.2015 0.4133
Sn1 0.5405 0.7715 0.2379
Zn2 0.2205 0.5876 0.4157
Sn2 0.1909 0.2235 0.9993

Values from the calculation:
For the total magnetic moment, the calculation gives 0.000 μB per cell. As for the density of states at the Fermi level: 2.1 states/eV per cell. The value obtained for the electronic total energy is -2.88 eV/atom.


Here is crystalline CaZn2Sn at its relaxed geometry from Alexandria via LeMat-Bulk. Energies are from GGA-PBE.

Cell lengths 4.3664, 4.4731, 4.4731 Å; angles 90.00, 90.00, 90.00 degrees
Element x y z (fractional)
Zn1 0.0000 0.5000 0.0000
Zn2 0.0000 0.0000 0.5000
Sn1 0.5000 0.5000 0.5000
Ca1 0.5000 0.0000 0.0000

Values from the calculation:
For the total magnetic moment, the calculation gives 0.000 μB per cell. As for the density of states at the Fermi level: 1.5 states/eV per cell. The value obtained for the electronic total energy is -2.36 eV/atom.


Here is crystalline Ca8Zn2Sn at its relaxed geometry from Alexandria via LeMat-Bulk. Energies are from GGA-PBE.

Cell lengths 5.3728, 7.5283, 9.9054 Å; angles 112.42, 105.72, 89.98 degrees
Element x y z (fractional)
Ca1 0.6360 0.2511 0.9095
Ca2 0.2961 0.3447 0.2281
Ca3 0.9246 0.4340 0.4851
Sn1 0.1359 0.9741 0.9089
Ca4 0.3484 0.8588 0.3329
Ca5 0.5313 0.7330 0.6995
Zn1 0.4764 0.2814 0.5884
Zn2 0.7983 0.6031 0.2309
Ca6 0.1355 0.5529 0.9088
Ca7 0.9767 0.0252 0.5898
Ca8 0.7407 0.9419 0.1181

Values from the calculation:
For the total magnetic moment, the calculation gives 0.000 μB per cell. As for the density of states at the Fermi level: 7.5 states/eV per cell. The value obtained for the electronic total energy is -2.29 eV/atom.


Here is crystalline Ca4ZnSn at its relaxed geometry from Alexandria via LeMat-Bulk. Energies are from GGA-PBE.

Cell lengths 10.2283, 10.2283, 10.2283 Å; angles 60.00, 60.00, 60.00 degrees
Element x y z (fractional)
Ca1 0.9434 0.5566 0.5566
Sn1 0.5887 0.2340 0.5887
Ca2 0.9434 0.9434 0.5566
Ca3 0.7998 0.2002 0.2002
Ca4 0.5566 0.5566 0.9434
Sn2 0.5887 0.5887 0.5887
Zn1 0.1480 0.1480 0.5561
Sn3 0.2340 0.5887 0.5887
Zn2 0.1480 0.5561 0.1480
Ca5 0.7998 0.7998 0.2002
Ca6 0.3640 0.3640 0.9079
Ca7 0.2002 0.7998 0.2002
Zn3 0.5561 0.1480 0.1480
Ca8 0.9434 0.5566 0.9434
Ca9 0.5566 0.9434 0.9434
Ca10 0.3640 0.3640 0.3640
Sn4 0.5887 0.5887 0.2340
Ca11 0.9079 0.3640 0.3640
Ca12 0.2002 0.7998 0.7998
Ca13 0.3640 0.9079 0.3640
Zn4 0.1480 0.1480 0.1480
Ca14 0.7998 0.2002 0.7998
Ca15 0.2002 0.2002 0.7998
Ca16 0.5566 0.9434 0.5566

Values from the calculation:
As for the distance to the lowest polymorph of the same formula: 0.000 eV/f.u. For the total magnetic moment, the calculation gives 0.000 μB per cell. As for the density of states at the Fermi level: 15.8 states/eV per cell.


Here is crystalline CaZnSn at its relaxed geometry from Alexandria via LeMat-Bulk. Energies are from GGA-PBE.

Cell lengths 3.5476, 3.5476, 6.3821 Å; angles 106.14, 106.14, 90.00 degrees
Element x y z (fractional)
Ca1 0.6265 0.6265 0.2529
Sn1 0.9307 0.9307 0.8615
Zn1 0.2928 0.2928 0.5856

Values from the calculation:
For the total magnetic moment, the calculation gives 0.000 μB per cell. As for the density of states at the Fermi level: 1.0 states/eV per cell. The value obtained for the electronic total energy is -2.71 eV/atom.


Here is crystalline CaZn2Sn at its relaxed geometry from Alexandria via LeMat-Bulk. Energies are from GGA-PBE.

Cell lengths 4.3485, 4.3485, 10.1169 Å; angles 90.00, 90.00, 90.00 degrees
Element x y z (fractional)
Ca1 0.0000 0.5000 0.7553
Sn1 0.0000 0.5000 0.3299
Zn1 0.5000 0.0000 0.9499
Zn2 0.0000 0.5000 0.0501
Zn3 0.5000 0.5000 0.5000
Sn2 0.5000 0.0000 0.6701
Zn4 0.0000 0.0000 0.5000
Ca2 0.5000 0.0000 0.2447

Values from the calculation:
For the total magnetic moment, the calculation gives 0.000 μB per cell. As for the density of states at the Fermi level: 1.8 states/eV per cell. The value obtained for the electronic total energy is -2.36 eV/atom.


Here is crystalline Ca2ZnSn2 at its relaxed geometry from Alexandria via LeMat-Bulk. Energies are from GGA-PBE.

Cell lengths 7.4672, 7.4672, 4.8884 Å; angles 90.00, 90.00, 90.00 degrees
Element x y z (fractional)
Sn1 0.3586 0.8586 0.0000
Ca1 0.1663 0.6663 0.5000
Zn1 0.5000 0.5000 0.0000
Ca2 0.3337 0.1663 0.5000
Ca3 0.8337 0.3337 0.5000
Sn2 0.6414 0.1414 0.0000
Sn3 0.8586 0.6414 0.0000
Ca4 0.6663 0.8337 0.5000
Zn2 0.0000 0.0000 0.0000
Sn4 0.1414 0.3586 0.0000

Values from the calculation:
As for the distance to the lowest polymorph of the same formula: 0.441 eV/f.u. For the total magnetic moment, the calculation gives 0.000 μB per cell. As for the density of states at the Fermi level: 4.8 states/eV per cell.